A plane-wave DFT calculation with GGA-PBE was carried out for a geometry-optimized Ac6AsP3Se2 structure.

## Properties
As for the magnetic moment: 0.0 μB per cell. The calculation puts the total DFT energy (no corrections) at -6.050 eV/atom. The value obtained for the mass density is 7.39 g/cm³. For the formation energy from raw total energies, the calculation gives -1.67 eV/atom.

abc: 4.463 8.961 10.014
angles: 103.30 102.88 90.00
Positions (direct):
Ac (0.668, 0.073, 0.335)
Ac (0.997, 0.252, 0.994)
Ac (0.003, 0.748, 0.006)
Ac (0.338, 0.408, 0.676)
Ac (0.332, 0.927, 0.665)
Ac (0.662, 0.592, 0.324)
P (0.168, 0.832, 0.335)
P (0.832, 0.168, 0.665)
P (0.500, 0.500, 0.000)
Se (0.168, 0.336, 0.336)
Se (0.832, 0.664, 0.664)
As (0.500, 0.000, 0.000)